Entry 1:
Computed, not measured: a relaxed Tb4CePr7 crystal at the PBE level of DFT.

Properties
Crystal system: triclinic
Uncorrected energy: -4.686 eV/atom
SG: P-1
D(E_F): 23.53 states/eV/cell
ΔH_f (0 K): 0.140 eV/atom

Lattice parameters (Å, degrees): 6.126 7.062 10.215 110.05 90.77 90.01
Fractional positions:
Tb 0.240 0.371 0.271
Tb 0.241 0.901 0.270
Tb 0.759 0.099 0.730
Tb 0.760 0.629 0.729
Ce 0.000 0.500 0.000
Pr 0.241 0.312 0.629
Pr 0.247 0.964 0.927
Pr 0.270 0.786 0.575
Pr 0.500 0.500 0.000
Pr 0.730 0.214 0.425
Pr 0.753 0.036 0.073
Pr 0.759 0.688 0.371

Entry 2:
Computed, not measured: a relaxed Tb4CePr crystal at the PBE level of DFT.

Properties
Crystal system: monoclinic
Uncorrected energy: -4.819 eV/atom
SG: P2/m
D(E_F): 11.92 states/eV/cell
ΔH_f (0 K): 0.053 eV/atom

Lattice parameters (Å, degrees): 6.220 3.572 8.760 90.00 90.07 90.00
Fractional positions:
Tb 0.163 0.000 0.168
Tb 0.330 0.500 0.837
Tb 0.670 0.500 0.163
Tb 0.837 0.000 0.832
Ce 0.000 0.500 0.500
Pr 0.500 0.000 0.500

Entry 3:
Computed, not measured: a relaxed TbCePr crystal at the PBE level of DFT.

Properties
Crystal system: monoclinic
Offset from the most stable computed form: 0.00 kcal/mol of atoms
Uncorrected energy: -5.057 eV/atom
SG: P2_1/m
D(E_F): 11.41 states/eV/cell
ΔH_f (0 K): 0.058 eV/atom

Lattice parameters (Å, degrees): 6.227 3.596 8.881 90.00 103.49 90.00
Fractional positions:
Tb 0.026 0.250 0.328
Tb 0.974 0.750 0.672
Ce 0.242 0.250 0.997
Ce 0.758 0.750 0.003
Pr 0.478 0.250 0.679
Pr 0.522 0.750 0.321

Entry 4:
Computed, not measured: a relaxed Tb9CePr2 crystal at the PBE level of DFT.

Properties
Crystal system: tetragonal
Uncorrected energy: -4.729 eV/atom
SG: P4/mmm
D(E_F): 17.99 states/eV/cell
ΔH_f (0 K): 0.034 eV/atom

Lattice parameters (Å, degrees): 5.067 5.067 15.196 90.00 90.00 90.00
Fractional positions:
Tb 0.000 0.000 0.000
Tb 0.000 0.000 0.333
Tb 0.000 0.000 0.667
Tb 0.000 0.500 0.163
Tb 0.000 0.500 0.500
Tb 0.000 0.500 0.837
Tb 0.500 0.000 0.163
Tb 0.500 0.000 0.500
Tb 0.500 0.000 0.837
Ce 0.500 0.500 0.000
Pr 0.500 0.500 0.331
Pr 0.500 0.500 0.669

Entry 5:
Computed, not measured: a relaxed Tb6CePr10 crystal at the PBE level of DFT.

Properties
Crystal system: trigonal
Uncorrected energy: -4.646 eV/atom
SG: P-31m
D(E_F): 29.44 states/eV/cell
ΔH_f (0 K): 0.149 eV/atom

Lattice parameters (Å, degrees): 9.926 9.926 6.984 90.00 90.00 120.00
Fractional positions:
Tb 0.000 0.371 0.308
Tb 0.000 0.629 0.692
Tb 0.371 0.000 0.308
Tb 0.371 0.371 0.692
Tb 0.629 0.000 0.692
Tb 0.629 0.629 0.308
Ce 0.000 0.000 0.500
Pr 0.000 0.273 0.815
Pr 0.000 0.727 0.185
Pr 0.273 0.000 0.815
Pr 0.273 0.273 0.185
Pr 0.333 0.667 0.000
Pr 0.333 0.667 0.500
Pr 0.667 0.333 0.000
Pr 0.667 0.333 0.500
Pr 0.727 0.000 0.185
Pr 0.727 0.727 0.815

Entry 6:
Computed, not measured: a relaxed TbCePr crystal at the PBE level of DFT.

Properties
Crystal system: tetragonal
Offset from the most stable computed form: 0.45 kcal/mol of atoms
Uncorrected energy: -5.037 eV/atom
SG: I4mm
D(E_F): 5.97 states/eV/cell
ΔH_f (0 K): 0.077 eV/atom

Lattice parameters (Å, degrees): 7.969 7.969 7.969 154.10 154.10 36.95
Fractional positions:
Tb 0.000 0.000 0.000
Ce 0.656 0.656 0.000
Pr 0.319 0.319 0.000

Entry 7:
Computed, not measured: a relaxed Tb2CePr8 crystal at the PBE level of DFT.

Properties
Crystal system: orthorhombic
Uncorrected energy: -4.743 eV/atom
SG: Immm
D(E_F): 19.43 states/eV/cell
ΔH_f (0 K): 0.115 eV/atom

Lattice parameters (Å, degrees): 9.531 9.531 9.531 144.78 128.27 64.13
Fractional positions:
Tb 0.200 0.200 0.000
Tb 0.800 0.800 0.000
Ce 0.500 0.500 0.000
Pr 0.073 0.365 0.708
Pr 0.212 0.000 0.212
Pr 0.338 0.838 0.500
Pr 0.343 0.635 0.708
Pr 0.657 0.365 0.292
Pr 0.662 0.162 0.500
Pr 0.788 0.000 0.788
Pr 0.927 0.635 0.292

Entry 8:
Computed, not measured: a relaxed Tb2CePr crystal at the PBE level of DFT.

Properties
Crystal system: tetragonal
Offset from the most stable computed form: 0.38 kcal/mol of atoms
Uncorrected energy: -4.917 eV/atom
SG: P4/mmm
D(E_F): 7.81 states/eV/cell
ΔH_f (0 K): 0.076 eV/atom

Lattice parameters (Å, degrees): 5.091 5.091 5.024 90.00 90.00 90.00
Fractional positions:
Tb 0.000 0.500 0.000
Tb 0.500 0.000 0.000
Ce 0.000 0.000 0.500
Pr 0.500 0.500 0.500